# 1
Material: TaTiRe
Method: DFT, PBE
State: relaxed

It has space group P3m1 (No. 156), with a = 3.0185 Å, b = 3.0185 Å, c = 6.4164 Å, α = 90.00°, β = 90.00° and γ = 120.00°. Symmetry generates all atoms from Ta at (0.0000, 0.0000, 0.0000), Ti at (0.3333, 0.6667, 0.6359) and Re at (0.6667, 0.3333, 0.3238).

The energy of formation is 0.056 eV per atom.

***

# 2
Material: Li3HoCd2
Method: DFT, PBE
State: relaxed

It has space group C2/m (No. 12), with a = 15.9970 Å, b = 4.4422 Å, c = 8.3147 Å, α = 90.00°, β = 121.24° and γ = 90.00°. Symmetry generates all atoms from Li at (0.0795, 0.0000, 0.2021), Li at (0.0998, 0.5000, 0.0111), Li at (0.2437, 0.0000, 0.5877), Ho at (0.0938, 0.0000, 0.7217), Cd at (0.0780, 0.5000, 0.4241) and Cd at (0.2411, 0.0000, 0.1508).

The energy of formation is -0.161 eV per atom.

***

# 3
Material: YHgW2
Method: DFT, PBE
State: relaxed

It has space group Pmmm (No. 47), with a = 2.8539 Å, b = 4.9572 Å, c = 5.8141 Å, α = 90.00°, β = 90.00° and γ = 90.00°. Symmetry generates all atoms from Y at (0.0000, 0.0000, 0.0000), Hg at (0.0000, 0.0000, 0.5000) and W at (0.5000, 0.5000, 0.2207).

The energy of formation is 0.800 eV per atom.

***

# 4
Material: TbDy2Hg3
Method: DFT, PBE
State: relaxed

It has space group P4/mmm (No. 123), with a = 3.7347 Å, b = 3.7347 Å, c = 11.1488 Å, α = 90.00°, β = 90.00° and γ = 90.00°. Symmetry generates all atoms from Tb at (0.0000, 0.0000, 0.0000), Dy at (0.0000, 0.0000, 0.3338), Hg at (0.5000, 0.5000, 0.1682) and Hg at (0.5000, 0.5000, 0.5000).

The energy of formation is -0.480 eV per atom.

***

# 5
Material: CeGa7Pd5
Method: DFT, PBE
State: relaxed

It has space group Imm2 (No. 44), with a = 5.5014 Å, b = 9.2390 Å, c = 8.7115 Å, α = 90.00°, β = 90.00° and γ = 90.00°. Symmetry generates all atoms from Ce at (0.0000, 0.0000, 0.0000), Ga at (0.0000, 0.0000, 0.3441), Ga at (0.0000, 0.0000, 0.6346), Ga at (0.0000, 0.3049, 0.5090), Ga at (0.0000, 0.3459, 0.9829), Ga at (0.0000, 0.5000, 0.2598), Pd at (0.0000, 0.5000, 0.7265) and Pd at (0.2487, 0.2688, 0.2498).

The energy of formation is -0.576 eV per atom.

***

# 6
Material: AcGe2Os
Method: DFT, PBE
State: relaxed

It has space group P4/mmm (No. 123), with a = 3.2928 Å, b = 3.2928 Å, c = 7.4902 Å, α = 90.00°, β = 90.00° and γ = 90.00°. Symmetry generates all atoms from Ac at (0.0000, 0.0000, 0.0000), Ge at (0.5000, 0.5000, 0.3112) and Os at (0.0000, 0.0000, 0.5000).

The energy of formation is 0.036 eV per atom.